No. 1
# HfNbCoBi

A geometry-optimized HfNbCoBi structure (PBE-GGA, OQMD via LeMat-Bulk).

Crystal system: cubic
Relative energy among the computed polymorphs: 0.000 eV/f.u.
Raw total energy: -29.77 eV/f.u.

a b c (Å): 4.7196 4.7196 4.7196
angles (deg): 60.00 60.00 60.00
Atoms (fractional coordinates):
Nb (0.2500, 0.2500, 0.2500)
Bi (0.0000, 0.0000, 0.0000)
Co (0.7500, 0.7500, 0.7500)
Hf (0.5000, 0.5000, 0.5000)

---

No. 2
# Pr5Th3Br

A geometry-optimized Pr5Th3Br structure (PBE-GGA, OQMD via LeMat-Bulk).

Crystal system: hexagonal
Raw total energy: -48.56 eV/f.u.

a b c (Å): 9.4720 9.4720 3.7270
angles (deg): 90.00 90.00 120.00
Atoms (fractional coordinates):
Pr (0.0000, 0.2562, 0.5000)
Pr (0.2562, 0.0000, 0.5000)
Th (0.6005, 0.0000, 0.0000)
Th (0.3995, 0.3995, 0.0000)
Pr (0.7438, 0.7438, 0.5000)
Th (0.0000, 0.6005, 0.0000)
Pr (0.3333, 0.6667, 0.5000)
Pr (0.6667, 0.3333, 0.5000)
Br (0.0000, 0.0000, 0.0000)

---

No. 3
# Ni3Pb5Au

A geometry-optimized Ni3Pb5Au structure (PBE-GGA, OQMD via LeMat-Bulk).

Crystal system: hexagonal
Raw total energy: -37.30 eV/f.u.

a b c (Å): 5.4042 5.4042 7.9699
angles (deg): 90.00 90.00 120.00
Atoms (fractional coordinates):
Ni (0.5000, 0.5000, 0.5000)
Pb (0.3333, 0.6667, 0.7936)
Pb (0.6667, 0.3333, 0.2064)
Ni (0.5000, 0.0000, 0.5000)
Pb (0.6667, 0.3333, 0.7936)
Pb (0.3333, 0.6667, 0.2064)
Pb (0.0000, 0.0000, 0.5000)
Ni (0.0000, 0.5000, 0.5000)
Au (0.0000, 0.0000, 0.0000)

---

No. 4
# NiCl

A geometry-optimized NiCl structure (PBE-GGA, OQMD via LeMat-Bulk).

Crystal system: hexagonal
Raw total energy: -7.05 eV/f.u.

a b c (Å): 3.2823 3.2823 3.2835
angles (deg): 90.00 90.00 120.00
Atoms (fractional coordinates):
Ni (0.3333, 0.6667, 0.2500)
Cl (0.6667, 0.3333, 0.7500)

---

No. 5
# Hf2Si2PdPt

A geometry-optimized Hf2Si2PdPt structure (PBE-GGA, OQMD via LeMat-Bulk).

Crystal system: monoclinic
Raw total energy: -47.28 eV/f.u.

a b c (Å): 7.4398 4.2951 14.2446
angles (deg): 90.00 100.02 90.00
Atoms (fractional coordinates):
Pd (0.0007, 0.5000, 0.5007)
Pt (0.2502, 0.5000, 0.2494)
Hf (0.9380, 0.5000, 0.3137)
Hf (0.4355, 0.5000, 0.8118)
Pt (0.7495, 0.0000, 0.2495)
Pd (0.4998, 0.0000, 0.5009)
Hf (0.1873, 0.0000, 0.5625)
Hf (0.1854, 0.5000, 0.0618)
Si (0.0623, 0.5000, 0.6873)
Si (0.5624, 0.5000, 0.1875)
Si (0.8122, 0.5000, 0.9370)
Si (0.8128, 0.0000, 0.4380)
Hf (0.4379, 0.0000, 0.3138)
Pd (0.0005, 0.0000, 0.0000)
Hf (0.6873, 0.5000, 0.5614)
Hf (0.6893, 0.0000, 0.0620)
Pt (0.7494, 0.5000, 0.7497)
Pt (0.4996, 0.5000, 0.0002)
Pd (0.2502, 0.0000, 0.7496)
Hf (0.9394, 0.0000, 0.8130)
Si (0.3125, 0.5000, 0.4381)
Si (0.0626, 0.0000, 0.1877)
Si (0.5626, 0.0000, 0.6873)
Si (0.3126, 0.0000, 0.9373)

---

No. 6
# BiIrNO

A geometry-optimized BiIrNO structure (PBE-GGA, OQMD via LeMat-Bulk).

Crystal system: orthorhombic
Relative energy among the computed polymorphs: 1.252 eV/f.u.
Raw total energy: -25.21 eV/f.u.

a b c (Å): 6.1562 7.2505 5.1794
angles (deg): 90.00 90.00 90.00
Atoms (fractional coordinates):
Bi (0.4423, 0.8386, 0.4965)
Ir (0.6592, 0.6490, 0.0440)
Ir (0.8408, 0.6490, 0.5440)
Ir (0.1592, 0.3510, 0.0440)
Ir (0.3408, 0.3510, 0.5440)
O (0.6223, 0.4763, 0.7254)
O (0.1223, 0.5237, 0.7254)
N (0.4587, 0.8593, 0.9365)
O (0.3777, 0.5237, 0.2254)
Bi (0.5577, 0.1614, 0.9965)
Bi (0.0577, 0.8386, 0.9965)
N (0.9587, 0.1407, 0.9365)
N (0.0413, 0.8593, 0.4365)
Bi (0.9423, 0.1614, 0.4965)
N (0.5413, 0.1407, 0.4365)
O (0.8777, 0.4763, 0.2254)

---

No. 7
# Cd3Sn2

A geometry-optimized Cd3Sn2 structure (PBE-GGA, OQMD via LeMat-Bulk).

Crystal system: trigonal
Raw total energy: -10.12 eV/f.u.

a b c (Å): 5.1127 5.1127 5.1127
angles (deg): 92.20 92.20 92.20
Atoms (fractional coordinates):
Cd (0.2681, 0.7319, 0.5000)
Sn (0.8208, 0.8208, 0.8208)
Cd (0.5000, 0.2681, 0.7319)
Sn (0.1792, 0.1792, 0.1792)
Cd (0.7319, 0.5000, 0.2681)

---

No. 8
# SrCdSeO

A geometry-optimized SrCdSeO structure (PBE-GGA, OQMD via LeMat-Bulk).

Crystal system: orthorhombic
Raw total energy: -17.42 eV/f.u.

a b c (Å): 7.3414 7.7237 6.9172
angles (deg): 90.00 90.00 90.00
Atoms (fractional coordinates):
Cd (0.4511, 0.6311, 0.0482)
Se (0.8993, 0.3402, 0.6612)
Cd (0.9511, 0.3689, 0.0482)
O (0.5799, 0.8839, 0.1009)
Sr (0.1320, 0.0747, 0.4396)
O (0.4201, 0.1161, 0.6009)
Sr (0.8680, 0.9253, 0.9396)
Se (0.6007, 0.3402, 0.1612)
O (0.9201, 0.8839, 0.6009)
Sr (0.3680, 0.0747, 0.9396)
Se (0.3993, 0.6598, 0.6612)
Cd (0.5489, 0.3689, 0.5482)
Sr (0.6320, 0.9253, 0.4396)
Cd (0.0489, 0.6311, 0.5482)
O (0.0799, 0.1161, 0.1009)
Se (0.1007, 0.6598, 0.1612)

---

Q: Which of these has the highest raw total energy?
A: NiCl

---

Q: Number 8 is which compound?
A: SrCdSeO

---

Q: Which formula does entry 3 have?
A: Ni3Pb5Au